Na2CaAl3F12: optimized geometry, PBE.

As for the volume: 15.0 Å³ per atom. As for the formation energy without anion corrections: -3.29 eV/atom. The calculation puts the total magnetization at 0.000 μB/atom. As for the crystal system: trigonal. The density of states at the Fermi level comes out at 7.01 states/eV per cell.

It has space group R-3m (No. 166, hexagonal axes), with a = 7.1065 Å, b = 7.1065 Å, c = 18.5631 Å, α = 90.00°, β = 90.00° and γ = 120.00°. The asymmetric unit holds Na at (0.0000, 0.0000, 0.1786), Ca at (0.0000, 0.0000, 0.5000), Al at (0.0000, 0.5000, 0.0000), F at (0.0229, 0.5115, 0.0974) and F at (0.0894, 0.5447, 0.3396).



RbPaMnN4: optimized geometry, PBE.

As for the volume: 17.4 Å³ per atom. As for the formation energy without anion corrections: -0.66 eV/atom. The calculation puts the total magnetization at 0.148 μB/atom. As for the crystal system: monoclinic. The density of states at the Fermi level comes out at 2.74 states/eV per cell.

It has space group P2_1/m (No. 11), with a = 5.774 Å, b = 5.531 Å, c = 7.955 Å, α = 90.00°, β = 105.91° and γ = 90.00°. The asymmetric unit holds Rb at (0.217, 0.250, 0.433), Pa at (0.265, 0.250, 0.950), Mn at (0.271, 0.750, 0.157), N at (0.071, 0.750, 0.280), N at (0.073, 0.750, 0.953) and N at (0.471, 0.510, 0.169).



YTaN: optimized geometry, PBE.

As for the volume: 18.0 Å³ per atom. As for the formation energy without anion corrections: -0.18 eV/atom. The calculation puts the total magnetization at 0.125 μB/atom. As for the crystal system: tetragonal. The density of states at the Fermi level comes out at 4.42 states/eV per cell.

It has space group P4/nmm (No. 129, origin choice 2), with a = 3.620 Å, b = 3.620 Å, c = 8.240 Å, α = 90.00°, β = 90.00° and γ = 90.00°. The asymmetric unit holds Y at (0.250, 0.250, 0.167), Ta at (0.250, 0.750, 0.500) and N at (0.250, 0.250, 0.681).



LaZnOs2: optimized geometry, PBE.

As for the volume: 18.9 Å³ per atom. The calculation puts the total magnetization at 0.000 μB/atom. As for the crystal system: monoclinic. The value obtained for the formation energy is 0.3808 eV/atom. The density of states at the Fermi level comes out at 8.40 states/eV per cell.

It has space group C2/m (No. 12), with a = 9.066 Å, b = 3.010 Å, c = 5.631 Å, α = 90.00°, β = 99.69° and γ = 90.00°. The asymmetric unit holds La at (0.000, 0.000, 0.000), Zn at (0.000, 0.500, 0.500) and Os at (0.233, 0.000, 0.678).